# 1
This record from Alexandria describes crystalline ReOs2SeI at its relaxed geometry. The functional is PBE.

Results
As for the electronic total energy: -29.16 eV per cell. The value obtained for the uncorrected formation energy is 2.16 eV per atom. Its total magnetization is 0.779 Bohr magnetons per cell.

Cell lengths 4.786, 4.786, 5.210 Å; angles 90.00, 90.00, 90.00 degrees
Sites, in units of the cell vectors:
Re1 0.000 0.000 0.000
Os1 0.000 0.500 0.000
Os2 0.500 0.000 0.000
Se1 0.500 0.500 0.500
I1 0.000 0.000 0.500

=====

# 2
This record from Alexandria describes crystalline Si2PtW at its relaxed geometry. The functional is PBE.

Results
As for the electronic total energy: -29.69 eV per cell. The value obtained for the uncorrected formation energy is 0.04 eV per atom. The calculation puts the offset from the most stable computed form at 309 meV per atom. Its total magnetization is 0.000 Bohr magnetons per cell.

Cell lengths 2.746, 2.746, 7.828 Å; angles 90.00, 90.00, 90.00 degrees
Sites, in units of the cell vectors:
Si1 0.000 0.000 0.000
Si2 0.500 0.500 0.249
Pt1 0.500 0.500 0.754
W1 0.000 0.000 0.496